Entry from Alexandria via LeMat-Bulk: a relaxed SbHRh3 crystal (PBE).

Unit cell a=4.3929 b=5.1807 c=9.0996 alpha=90.00 beta=90.00 gamma=90.00
With the nearest neighbours (Å) after each atom.
Space group Amm2 (No. 38)
Unique sites:
Sb  0.0000  0.0000  0.0000 (multiplicity 2)  2 H 2.20
H  0.5000  0.0000  0.9846 (multiplicity 2)  1 Rh 1.57
Rh  0.0000  0.2334  0.2557 (multiplicity 4)  3 Rh 2.42-2.64, 2 Sb 2.62
Rh  0.5000  0.0000  0.8121 (multiplicity 2)  1 H 1.57

## Properties
Total magnetic moment, μB/f.u.: 0.000
Density, g/cm3: 6.920
Energy above the lowest structure with this stoichiometry, meV/atom: 833.3
Calculated total energy, eV per atom: -5.352